one) Crystalline LiDy2Cd at its relaxed geometry, computed with PBE.

a = 5.256 Å, b = 5.256 Å, c = 5.256 Å
α = 60.00°, β = 60.00°, γ = 60.00°
Atoms (fractional coordinates):
Cd (0.500, 0.500, 0.500)
Li (0.000, 0.000, 0.000)
Dy (0.250, 0.250, 0.250)
Dy (0.750, 0.750, 0.750)

Summary:
For the total magnetization, the calculation gives 0.00 μB/cell. As for the space group: No. 225.

=====

two) Crystalline LiDy2Cd at its relaxed geometry, computed with PBE.

a = 3.399 Å, b = 3.399 Å, c = 11.788 Å
α = 81.71°, β = 81.71°, γ = 60.00°
Atoms (fractional coordinates):
Cd (0.500, 0.500, 0.500)
Dy (0.907, 0.907, 0.279)
Dy (0.093, 0.093, 0.721)
Li (0.000, 0.000, 0.000)

Summary:
For the total magnetization, the calculation gives 0.00 μB/cell. As for the space group: No. 166.

=====

Order from most stable to least stable according to the calculation: one), two)

=====

one) Crystalline DyLu2Cd at its relaxed geometry, computed with PBE.

a = 3.517 Å, b = 3.517 Å, c = 8.970 Å
α = 90.00°, β = 90.00°, γ = 90.00°
Atoms (fractional coordinates):
Cd (0.500, 0.500, 0.000)
Dy (0.500, 0.500, 0.500)
Lu (0.000, 0.000, 0.773)
Lu (0.000, 0.000, 0.227)

Summary:
For the total magnetization, the calculation gives 0.00 μB/cell. As for the space group: No. 123.

=====

two) Crystalline DyLu2Cd at its relaxed geometry, computed with PBE.

a = 4.780 Å, b = 4.786 Å, c = 4.786 Å
α = 90.00°, β = 90.00°, γ = 90.00°
Atoms (fractional coordinates):
Dy (0.500, 0.500, 0.500)
Cd (0.500, 0.000, 0.000)
Lu (0.000, 0.500, 0.000)
Lu (0.000, 0.000, 0.500)

Summary:
For the total magnetization, the calculation gives 0.02 μB/cell. As for the space group: No. 123.

=====

Order from most stable to least stable according to the calculation: one), two)

=====

one) Crystalline DyLu2Cd at its relaxed geometry, computed with PBE.

a = 5.369 Å, b = 5.369 Å, c = 5.369 Å
α = 60.00°, β = 60.00°, γ = 60.00°
Each line ends with the local moment (μB).
Atoms (fractional coordinates):
Lu (0.750, 0.750, 0.750)  -0.09
Dy (0.000, 0.000, 0.000)  -0.15
Cd (0.500, 0.500, 0.500)  0.00
Lu (0.250, 0.250, 0.250)  -0.09

Summary:
For the total magnetization, the calculation gives 0.43 μB/cell. As for the space group: No. 225.

=====

two) Crystalline DyLu2Cd at its relaxed geometry, computed with PBE.

a = 3.401 Å, b = 3.401 Å, c = 11.931 Å
α = 81.81°, β = 81.81°, γ = 60.00°
Each line ends with the local moment (μB).
Atoms (fractional coordinates):
Lu (0.904, 0.904, 0.287)  0.11
Lu (0.096, 0.096, 0.713)  0.11
Cd (0.500, 0.500, 0.500)  0.00
Dy (0.000, 0.000, 0.000)  0.18

Summary:
For the total magnetization, the calculation gives 0.59 μB/cell. As for the space group: No. 166.

=====

Order from most stable to least stable according to the calculation: one), two)

=====

one) Crystalline Dy2LuCd at its relaxed geometry, computed with PBE.

a = 3.435 Å, b = 3.435 Å, c = 12.165 Å
α = 81.88°, β = 81.88°, γ = 60.00°
Atoms (fractional coordinates):
Cd (0.000, 0.000, 0.000)
Lu (0.500, 0.500, 0.500)
Dy (0.089, 0.089, 0.732)
Dy (0.911, 0.911, 0.268)

Summary:
For the total magnetization, the calculation gives 0.00 μB/cell. As for the space group: No. 166.

=====

two) Crystalline Dy2LuCd at its relaxed geometry, computed with PBE.

a = 3.940 Å, b = 5.340 Å, c = 5.340 Å
α = 90.00°, β = 90.00°, γ = 90.00°
Atoms (fractional coordinates):
Dy (0.000, 0.000, 0.500)
Dy (0.000, 0.500, 0.000)
Lu (0.500, 0.000, 0.000)
Cd (0.500, 0.500, 0.500)

Summary:
For the total magnetization, the calculation gives 0.00 μB/cell. As for the space group: No. 123.

=====

three) Crystalline Dy2LuCd at its relaxed geometry, computed with PBE.

a = 3.559 Å, b = 3.559 Å, c = 9.019 Å
α = 90.00°, β = 90.00°, γ = 90.00°
Atoms (fractional coordinates):
Dy (0.000, 0.000, 0.768)
Dy (0.000, 0.000, 0.232)
Cd (0.500, 0.500, 0.000)
Lu (0.500, 0.500, 0.500)

Summary:
For the total magnetization, the calculation gives 0.00 μB/cell. As for the space group: No. 123.

=====

four) Crystalline Dy2LuCd at its relaxed geometry, computed with PBE.

a = 5.403 Å, b = 5.403 Å, c = 5.403 Å
α = 60.00°, β = 60.00°, γ = 60.00°
Atoms (fractional coordinates):
Dy (0.750, 0.750, 0.750)
Cd (0.000, 0.000, 0.000)
Dy (0.250, 0.250, 0.250)
Lu (0.500, 0.500, 0.500)

Summary:
For the total magnetization, the calculation gives 0.00 μB/cell. As for the space group: No. 225.

=====

Order from most stable to least stable according to the calculation: three), two), four), one)

=====

one) Crystalline DyLuCd at its relaxed geometry, computed with PBE.

a = 3.547 Å, b = 3.547 Å, c = 6.992 Å
α = 104.69°, β = 104.69°, γ = 90.00°
Each line ends with the local moment (μB).
Atoms (fractional coordinates):
Lu (0.011, 0.011, 0.022)  0.30
Dy (0.325, 0.325, 0.651)  0.37
Cd (0.664, 0.664, 0.328)  0.01

Summary:
For the total magnetization, the calculation gives 0.98 μB/cell. As for the space group: No. 107.

=====

two) Crystalline DyLuCd at its relaxed geometry, computed with PBE.

a = 3.500 Å, b = 5.213 Å, c = 5.213 Å
α = 120.00°, β = 90.00°, γ = 90.00°
Atoms (fractional coordinates):
Lu (0.075, 0.000, 0.000)
Cd (0.300, 0.333, 0.667)
Dy (0.625, 0.667, 0.333)

Summary:
For the total magnetization, the calculation gives 0.00 μB/cell. As for the space group: No. 156.

=====

Order from most stable to least stable according to the calculation: one), two)

=====

one) Crystalline DyMgCd4 at its relaxed geometry, computed with PBE.

a = 4.018 Å, b = 4.018 Å, c = 10.021 Å
α = 101.56°, β = 101.56°, γ = 90.00°
Atoms (fractional coordinates):
Cd (0.423, 0.423, 0.846)
Cd (0.577, 0.577, 0.154)
Cd (0.677, 0.177, 0.355)
Dy (0.000, 0.000, 0.000)
Cd (0.823, 0.323, 0.645)
Mg (0.250, 0.750, 0.500)

Summary:
For the total magnetization, the calculation gives 0.00 μB/cell. As for the space group: No. 119.

=====

two) Crystalline DyMgCd4 at its relaxed geometry, computed with PBE.

a = 5.847 Å, b = 5.847 Å, c = 5.847 Å
α = 60.00°, β = 60.00°, γ = 60.00°
Atoms (fractional coordinates):
Mg (0.250, 0.250, 0.250)
Cd (0.625, 0.625, 0.625)
Dy (0.000, 0.000, 0.000)
Cd (0.625, 0.625, 0.124)
Cd (0.124, 0.625, 0.625)
Cd (0.625, 0.124, 0.625)

Summary:
For the total magnetization, the calculation gives 0.00 μB/cell. As for the space group: No. 216.

=====

Order from most stable to least stable according to the calculation: two), one)

=====

one) Crystalline Dy4Mg5Cd at its relaxed geometry, computed with PBE.

a = 5.250 Å, b = 6.557 Å, c = 8.305 Å
α = 104.83°, β = 108.43°, γ = 90.00°
Atoms (fractional coordinates):
Dy (0.305, 0.695, 0.611)
Dy (0.099, 0.900, 0.198)
Cd (0.500, 0.000, 0.000)
Mg (0.303, 0.202, 0.605)
Mg (0.500, 0.500, 0.000)
Dy (0.695, 0.305, 0.389)
Dy (0.901, 0.100, 0.802)
Mg (0.903, 0.585, 0.805)
Mg (0.097, 0.415, 0.195)
Mg (0.697, 0.798, 0.395)

Summary:
For the total magnetization, the calculation gives 0.00 μB/cell. As for the space group: No. 12.

=====

two) Crystalline Dy4Mg5Cd at its relaxed geometry, computed with PBE.

a = 3.766 Å, b = 3.766 Å, c = 18.386 Å
α = 90.00°, β = 90.00°, γ = 90.00°
Atoms (fractional coordinates):
Mg (0.500, 0.500, 0.914)
Dy (0.000, 0.000, 0.604)
Mg (0.500, 0.500, 0.500)
Dy (0.000, 0.000, 0.806)
Mg (0.500, 0.500, 0.294)
Dy (0.000, 0.000, 0.194)
Mg (0.500, 0.500, 0.086)
Dy (0.000, 0.000, 0.396)
Mg (0.500, 0.500, 0.706)
Cd (0.000, 0.000, 0.000)

Summary:
For the total magnetization, the calculation gives 0.00 μB/cell. As for the space group: No. 123.

=====

Order from most stable to least stable according to the calculation: one), two)

=====

one) Crystalline DyMg3Cd3 at its relaxed geometry, computed with PBE.

a = 7.525 Å, b = 7.525 Å, c = 7.525 Å
α = 90.00°, β = 90.00°, γ = 90.00°
Atoms (fractional coordinates):
Cd (0.000, 0.500, 0.750)
Mg (0.000, 0.750, 0.500)
Mg (0.000, 0.250, 0.500)
Cd (0.000, 0.500, 0.250)
Dy (0.000, 0.000, 0.000)
Dy (0.500, 0.500, 0.500)
Mg (0.250, 0.500, 0.000)
Mg (0.500, 0.000, 0.250)
Cd (0.250, 0.000, 0.500)
Cd (0.500, 0.250, 0.000)
Mg (0.750, 0.500, 0.000)
Cd (0.500, 0.750, 0.000)
Cd (0.750, 0.000, 0.500)
Mg (0.500, 0.000, 0.750)

Summary:
For the total magnetization, the calculation gives 0.00 μB/cell. As for the space group: No. 223.

=====

two) Crystalline DyMg3Cd3 at its relaxed geometry, computed with PBE.

a = 8.709 Å, b = 8.709 Å, c = 8.709 Å
α = 90.00°, β = 90.00°, γ = 90.00°
Atoms (fractional coordinates):
Mg (0.331, 0.169, 0.831)
Mg (0.669, 0.669, 0.669)
Cd (0.312, 0.103, 0.493)
Cd (0.507, 0.812, 0.397)
Dy (0.452, 0.452, 0.452)
Mg (0.191, 0.191, 0.191)
Cd (0.007, 0.688, 0.603)
Cd (0.603, 0.007, 0.688)
Cd (0.493, 0.312, 0.103)
Dy (0.952, 0.048, 0.548)
Mg (0.691, 0.309, 0.809)
Mg (0.809, 0.691, 0.309)
Cd (0.688, 0.603, 0.007)
Cd (0.188, 0.897, 0.993)
Mg (0.309, 0.809, 0.691)
Mg (0.630, 0.130, 0.370)
Cd (0.812, 0.397, 0.507)
Mg (0.169, 0.831, 0.331)
Cd (0.897, 0.993, 0.188)
Mg (0.831, 0.331, 0.169)
Dy (0.048, 0.548, 0.952)
Mg (0.130, 0.370, 0.630)
Cd (0.993, 0.188, 0.897)
Dy (0.548, 0.952, 0.048)
Cd (0.103, 0.493, 0.312)
Mg (0.870, 0.870, 0.870)
Mg (0.370, 0.630, 0.130)
Cd (0.397, 0.507, 0.812)

Summary:
For the total magnetization, the calculation gives 0.00 μB/cell. As for the space group: No. 198.

=====

Order from most stable to least stable according to the calculation: two), one)

=====

one) Crystalline Dy2Mg3Cd at its relaxed geometry, computed with PBE.

a = 3.330 Å, b = 5.146 Å, c = 8.910 Å
α = 90.00°, β = 90.00°, γ = 90.00°
Atoms (fractional coordinates):
Mg (0.500, 0.000, 0.166)
Dy (0.000, 0.000, 0.495)
Cd (0.500, 0.500, 0.335)
Mg (0.500, 0.500, 0.667)
Mg (0.500, 0.000, 0.832)
Dy (0.000, 0.500, 0.006)

Summary:
For the total magnetization, the calculation gives 0.00 μB/cell. As for the space group: No. 25.

=====

two) Crystalline Dy2Mg3Cd at its relaxed geometry, computed with PBE.

a = 6.133 Å, b = 6.133 Å, c = 9.499 Å
α = 100.76°, β = 100.76°, γ = 114.95°
Atoms (fractional coordinates):
Mg (0.168, 0.168, 0.335)
Dy (0.251, 0.251, 0.000)
Dy (0.749, 0.749, 0.000)
Mg (0.831, 0.336, 0.168)
Cd (0.666, 0.666, 0.333)
Cd (0.334, 0.334, 0.667)
Mg (0.169, 0.664, 0.832)
Dy (0.750, 0.250, 0.500)
Mg (0.336, 0.831, 0.168)
Mg (0.832, 0.832, 0.665)
Mg (0.664, 0.169, 0.832)
Dy (0.250, 0.750, 0.500)

Summary:
For the total magnetization, the calculation gives 0.00 μB/cell. As for the space group: No. 69.

=====

Order from most stable to least stable according to the calculation: two), one)

=====

one) Crystalline DyMg2Cd at its relaxed geometry, computed with PBE.

a = 5.109 Å, b = 5.106 Å, c = 5.106 Å
α = 90.50°, β = 119.69°, γ = 119.69°
Atoms (fractional coordinates):
Mg (0.625, 0.062, 0.688)
Cd (0.625, 0.563, 0.187)
Dy (0.125, 0.312, 0.438)
Mg (0.125, 0.813, 0.937)

Summary:
For the total magnetization, the calculation gives 0.00 μB/cell. As for the space group: No. 119.

=====

two) Crystalline DyMg2Cd at its relaxed geometry, computed with PBE.

a = 5.090 Å, b = 5.090 Å, c = 5.090 Å
α = 60.00°, β = 60.00°, γ = 60.00°
Atoms (fractional coordinates):
Mg (0.250, 0.250, 0.250)
Cd (0.000, 0.000, 0.000)
Mg (0.750, 0.750, 0.750)
Dy (0.500, 0.500, 0.500)

Summary:
For the total magnetization, the calculation gives 0.00 μB/cell. As for the space group: No. 225.

=====

three) Crystalline DyMg2Cd at its relaxed geometry, computed with PBE.

a = 3.393 Å, b = 3.393 Å, c = 8.457 Å
α = 90.00°, β = 90.00°, γ = 90.00°
Atoms (fractional coordinates):
Dy (0.500, 0.500, 0.500)
Cd (0.500, 0.500, 0.000)
Mg (0.000, 0.000, 0.779)
Mg (0.000, 0.000, 0.221)

Summary:
For the total magnetization, the calculation gives 0.00 μB/cell. As for the space group: No. 123.

=====

four) Crystalline DyMg2Cd at its relaxed geometry, computed with PBE.

a = 3.312 Å, b = 3.312 Å, c = 10.735 Å
α = 81.13°, β = 81.13°, γ = 60.00°
Atoms (fractional coordinates):
Mg (0.077, 0.077, 0.768)
Mg (0.256, 0.256, 0.233)
Cd (0.666, 0.666, 0.001)
Dy (0.501, 0.501, 0.498)

Summary:
For the total magnetization, the calculation gives 0.00 μB/cell. As for the space group: No. 160.

=====

Order from most stable to least stable according to the calculation: one), two), three), four)

=====

one) Crystalline DyMg2Cd2 at its relaxed geometry, computed with PBE.

a = 4.312 Å, b = 4.311 Å, c = 7.234 Å
α = 107.10°, β = 107.34°, γ = 90.00°
Atoms (fractional coordinates):
Mg (0.250, 0.751, 0.500)
Cd (0.395, 0.395, 0.791)
Dy (0.000, 0.000, 0.000)
Mg (0.750, 0.249, 0.500)
Cd (0.605, 0.605, 0.209)

Summary:
For the total magnetization, the calculation gives 0.00 μB/cell. As for the space group: No. 12.

=====

two) Crystalline DyMg2Cd2 at its relaxed geometry, computed with PBE.

a = 4.951 Å, b = 6.331 Å, c = 4.954 Å
α = 90.10°, β = 60.02°, γ = 66.98°
Atoms (fractional coordinates):
Mg (0.914, 0.877, 0.794)
Cd (0.676, 0.735, 0.413)
Dy (0.500, 0.500, 0.000)
Mg (0.086, 0.123, 0.206)
Cd (0.324, 0.265, 0.587)

Summary:
For the total magnetization, the calculation gives 0.00 μB/cell. As for the space group: No. 12.

=====

Order from most stable to least stable according to the calculation: two), one)